LaCr2Ru: single point on PBEsol structure, meta-GGA SCAN.

abc: 2.809 2.809 8.684
angles: 90.00 90.00 115.18
Positions (direct):
Cr 0.500 0.500 0.801
Cr 0.000 0.000 0.986
Ru 0.500 0.500 0.212
La 0.000 0.000 0.500

Calculated values
E above lowest polymorph: 4.56 kcal/mol of atoms
formation energy from the elements: 0.63 eV/atom
mass density: 9.21 Mg/m³